{"formula": "ReRu3", "functional": "PBE", "state": "relaxed", "density_g_cm3": 14.31, "e_form_kj_per_mol_atoms": 7, "sg": "P4/mmm (123)", "crystal_system": "tetragonal", "dos_ef_per_ev_cell": 4.986, "cell": [[2.725, 0.000, 0.000], [0.000, 2.725, 0.000], [0.000, 0.000, 7.648]], "species": ["Re", "Ru", "Ru", "Ru"], "fractional_positions": [[0.000, 0.000, 0.000], [0.000, 0.000, 0.500], [0.500, 0.500, 0.252], [0.500, 0.500, 0.748]]}